Below is a geometry-optimized PuTl2Hg2O6 structure, with properties calculated at the PBE level.

Summary:
The value obtained for the uncorrected energy is -5.630 eV/atom. For the density of states at the Fermi level, the calculation gives 4.963 states/eV per cell.

Cell and atoms, written as extended XYZ:
```
11
Lattice="3.568 -4.926 0.000 3.568 4.926 0.000 -3.419 0.000 6.219" Properties=species:S:1:pos:R:3 pbc="T T T"
Pu 0.000 0.000 0.000
Tl 1.858 1.855 3.109
Tl 1.858 -1.855 3.109
Hg 3.568 1.654 0.000
Hg 3.568 -1.654 0.000
O 0.462 3.479 4.802
O 3.254 3.479 1.417
O 2.137 0.000 0.598
O 1.579 0.000 5.620
O 0.462 -3.479 4.802
O 3.254 -3.479 1.417
```